A geometry-optimized ThSbPb2 structure, computed with GGA-PBE.

Values from the calculation:
**Symmetry**: R-3m, No. 166
**E_form (uncorrected)**: 27 kJ/mol of atoms
**Excess energy over the best structure of this formula in the dataset**: 630 meV/atom

Cell: 3.521 3.521 12.093 Å, 81.63 81.63 60.00°
Sites, in units of the cell vectors:
Pb 0.093 0.093 0.722
Pb 0.907 0.907 0.278
Sb 0.500 0.500 0.500
Th 0.000 0.000 0.000



A geometry-optimized La4HI2 structure, computed with GGA-PBE.

Values from the calculation:
**Symmetry**: I4/mmm, No. 139
**DFT total energy**: -4.3346 eV/atom

Cell: 4.751 4.751 9.269 Å, 75.15 75.15 90.00°
Sites, in units of the cell vectors:
I 0.361 0.361 0.277
I 0.639 0.639 0.723
H 0.000 0.000 0.000
La 0.172 0.172 0.657
La 0.828 0.828 0.343
La 0.000 0.500 0.000
La 0.500 0.000 0.000



A geometry-optimized Cs3In3Pb8 structure, computed with GGA-PBE.

Values from the calculation:
**Symmetry**: C2/m, No. 12
**Excess energy over the best structure of this formula in the dataset**: 0 meV/atom
**Energy of formation**: -0.090 eV/atom

Cell: 5.082 10.442 10.442 Å, 81.14 76.10 76.10°
Sites, in units of the cell vectors:
Cs 0.500 0.500 0.500
Cs 0.773 0.227 0.227
Cs 0.227 0.773 0.773
In 0.500 0.000 0.000
In 0.000 0.855 0.145
In 0.000 0.145 0.855
Pb 0.657 0.043 0.641
Pb 0.343 0.957 0.359
Pb 0.657 0.641 0.043
Pb 0.343 0.359 0.957
Pb 0.882 0.784 0.455
Pb 0.118 0.216 0.545
Pb 0.882 0.455 0.784
Pb 0.118 0.545 0.216